# Rb2WAuS4 PBE relaxed
data_Rb2WAuS4
_symmetry_space_group_name_H-M 'F d d d'
_symmetry_Int_Tables_number 70
_cell_length_a 5.7477
_cell_length_b 14.0610
_cell_length_c 23.8638
_cell_angle_alpha 90.00
_cell_angle_beta 90.00
_cell_angle_gamma 90.00
loop_
_symmetry_equiv_pos_as_xyz
'x,y,z'
'-x,-y,-z'
'-x+1/4,-y+1/4,z'
'x+1/4,y+1/4,-z'
'x,-y+1/4,-z+1/4'
'-x,y+1/4,z+1/4'
'-x+1/4,y,-z+1/4'
'x+1/4,-y,z+1/4'
'x,y+1/2,z+1/2'
'-x,-y+1/2,-z+1/2'
'-x+1/4,-y+3/4,z+1/2'
'x+1/4,y+3/4,-z+1/2'
'x,-y+3/4,-z+3/4'
'-x,y+3/4,z+3/4'
'-x+1/4,y+1/2,-z+3/4'
'x+1/4,-y+1/2,z+3/4'
'x+1/2,y,z+1/2'
'-x+1/2,-y,-z+1/2'
'-x+3/4,-y+1/4,z+1/2'
'x+3/4,y+1/4,-z+1/2'
'x+1/2,-y+1/4,-z+3/4'
'-x+1/2,y+1/4,z+3/4'
'-x+3/4,y,-z+3/4'
'x+3/4,-y,z+3/4'
'x+1/2,y+1/2,z'
'-x+1/2,-y+1/2,-z'
'-x+3/4,-y+3/4,z'
'x+3/4,y+3/4,-z'
'x+1/2,-y+3/4,-z+1/4'
'-x+1/2,y+3/4,z+1/4'
'-x+3/4,y+1/2,-z+1/4'
'x+3/4,-y+1/2,z+1/4'
loop_
_atom_site_label
_atom_site_fract_x
_atom_site_fract_y
_atom_site_fract_z
Rb1 0.1250 0.1250 0.3033
W1 0.1250 0.1250 0.6250
Au1 0.1250 0.1250 0.1250
S1 0.0889 0.2767 0.8188
# Total magnetic moment in μB per atom: 0.128

***

# RbYAuS2 PBE relaxed
data_RbYAuS2
_symmetry_space_group_name_H-M 'P 1 2/c 1'
_symmetry_Int_Tables_number 13
_cell_length_a 7.6121
_cell_length_b 5.0530
_cell_length_c 7.7328
_cell_angle_alpha 90.00
_cell_angle_beta 100.15
_cell_angle_gamma 90.00
loop_
_symmetry_equiv_pos_as_xyz
'x,y,z'
'-x,-y,-z'
'-x,y,-z+1/2'
'x,-y,z+1/2'
loop_
_atom_site_label
_atom_site_fract_x
_atom_site_fract_y
_atom_site_fract_z
Rb1 0.0000 0.1496 0.2500
Y1 0.5000 0.4937 0.7500
Au1 0.5000 0.0000 0.0000
S1 0.2683 0.3437 0.9619
# Total magnetic moment in μB per atom: 0.000

***

# RbZnAuS2 PBE relaxed
data_RbZnAuS2
_symmetry_space_group_name_H-M 'C m m e'
_symmetry_Int_Tables_number 67
_symmetry_space_group_name_Hall '-C 2a 2'
_cell_length_a 6.1730
_cell_length_b 13.2166
_cell_length_c 6.4304
_cell_angle_alpha 90.00
_cell_angle_beta 90.00
_cell_angle_gamma 90.00
loop_
_atom_site_label
_atom_site_fract_x
_atom_site_fract_y
_atom_site_fract_z
Rb1 0.0000 0.2500 0.2489
Zn1 0.2500 0.0000 0.5000
Au1 0.0000 0.0000 0.0000
S1 0.0000 0.1001 0.6978
# Total magnetic moment in μB per atom: 0.000

***

# Rb2ZrAuS4 PBE relaxed
data_Rb2ZrAuS4
_symmetry_space_group_name_H-M 'I -4'
_symmetry_Int_Tables_number 82
_cell_length_a 7.5718
_cell_length_b 7.5718
_cell_length_c 8.3448
_cell_angle_alpha 90.00
_cell_angle_beta 90.00
_cell_angle_gamma 90.00
loop_
_symmetry_equiv_pos_as_xyz
'x,y,z'
'y,-x,-z'
'-x,-y,z'
'-y,x,-z'
'x+1/2,y+1/2,z+1/2'
'y+1/2,-x+1/2,-z+1/2'
'-x+1/2,-y+1/2,z+1/2'
'-y+1/2,x+1/2,-z+1/2'
loop_
_atom_site_label
_atom_site_fract_x
_atom_site_fract_y
_atom_site_fract_z
Rb1 0.0000 0.0000 0.0000
Rb2 0.0000 0.5000 0.2500
Zr1 0.0000 0.5000 0.7500
Au1 0.0000 0.0000 0.5000
S1 0.1484 0.2735 0.5924
# Total magnetic moment in μB per atom: 0.000

***

# RbSb6Au8 PBE relaxed
data_RbSb6Au8
_symmetry_space_group_name_H-M 'R -3'
_symmetry_Int_Tables_number 148
_symmetry_space_group_name_Hall '-R 3'
_cell_length_a 11.1028
_cell_length_b 11.1028
_cell_length_c 14.6859
_cell_angle_alpha 90.00
_cell_angle_beta 90.00
_cell_angle_gamma 120.00
loop_
_atom_site_label
_atom_site_fract_x
_atom_site_fract_y
_atom_site_fract_z
Rb1 0.0000 0.0000 0.0000
Sb1 0.0047 0.7560 0.5991
Au1 0.0000 0.0000 0.3837
Au2 0.0047 0.2711 0.5853
# Total magnetic moment in μB per atom: 0.000

***

# RbSbAu2 PBE relaxed
data_RbSbAu2
_symmetry_space_group_name_H-M 'I -4 2 d'
_symmetry_Int_Tables_number 122
_symmetry_space_group_name_Hall 'I -4 2bw'
_cell_length_a 5.9606
_cell_length_b 5.9606
_cell_length_c 17.3400
_cell_angle_alpha 90.00
_cell_angle_beta 90.00
_cell_angle_gamma 90.00
loop_
_atom_site_label
_atom_site_fract_x
_atom_site_fract_y
_atom_site_fract_z
Rb1 0.0000 0.0000 0.0000
Sb1 0.0000 0.0000 0.5000
Au1 0.0304 0.2500 0.6250
# Total magnetic moment in μB per atom: 0.000

***

# RbSb6Au12 PBE relaxed
data_RbSb6Au12
_symmetry_space_group_name_H-M 'R -3'
_symmetry_Int_Tables_number 148
_symmetry_space_group_name_Hall '-R 3'
_cell_length_a 12.6404
_cell_length_b 12.6404
_cell_length_c 9.7481
_cell_angle_alpha 90.00
_cell_angle_beta 90.00
_cell_angle_gamma 120.00
loop_
_atom_site_label
_atom_site_fract_x
_atom_site_fract_y
_atom_site_fract_z
Rb1 0.0000 0.0000 0.0000
Sb1 0.0131 0.5961 0.3989
Au1 0.0181 0.1378 0.6236
Au2 0.0374 0.5305 0.8527
# Total magnetic moment in μB per atom: 0.000

***

# Rb2SbAu PBE relaxed
data_Rb2SbAu
_symmetry_space_group_name_H-M 'I m m 2'
_symmetry_Int_Tables_number 44
_cell_length_a 5.0200
_cell_length_b 10.6470
_cell_length_c 6.4857
_cell_angle_alpha 90.00
_cell_angle_beta 90.00
_cell_angle_gamma 90.00
loop_
_symmetry_equiv_pos_as_xyz
'x,y,z'
'-x,-y,z'
'-x,y,z'
'x,-y,z'
'x+1/2,y+1/2,z+1/2'
'-x+1/2,-y+1/2,z+1/2'
'-x+1/2,y+1/2,z+1/2'
'x+1/2,-y+1/2,z+1/2'
loop_
_atom_site_label
_atom_site_fract_x
_atom_site_fract_y
_atom_site_fract_z
Rb1 0.0000 0.1892 0.0000
Sb1 0.0000 0.0000 0.4900
Au1 0.0000 0.5000 0.8483
# Total magnetic moment in μB per atom: 0.000

***

Number 1: formation energy from raw total energies -533 kJ/mol of formula units. Number 2: formation energy from raw total energies -558 kJ/mol of formula units. Number 3: formation energy from raw total energies -366 kJ/mol of formula units. Number 4: formation energy from raw total energies -753 kJ/mol of formula units. Number 5: formation energy from raw total energies 19 kJ/mol of formula units. Number 6: formation energy from raw total energies -116 kJ/mol of formula units. Number 7: formation energy from raw total energies -76 kJ/mol of formula units. Number 8: formation energy from raw total energies -167 kJ/mol of formula units.